Computed, not measured: a relaxed structure of Cd5H at the PBE level of DFT.

- crystal system = monoclinic
- DFT total energy (eV per atom) = -1.143
- total moment (μB per formula unit) = 0.00
- energy above the lowest structure with this stoichiometry (meV per atom) = 16

abc: 4.405 5.192 8.459
angles: 98.89 74.91 64.90
Fractional positions:
Cd 0.892 0.681 0.534
Cd 0.506 0.339 0.649
Cd 0.306 0.000 0.389
Cd 0.719 0.319 0.244
Cd 0.105 0.661 0.129
H 0.306 0.500 0.889